7
Lattice="5.139 -2.236 0.000 5.139 2.236 0.000 -2.559 0.000 6.266" Properties=species:S:1:pos:R:3 comment="Th2Ga3Pd2 | Alexandria via LeMat-Bulk | GGA-PBE | relaxed" e_above_lowest_polymorph_ev_per_atom=0.0393 sg="C2/m (12)" total_magnetization_mub_per_cell=0.00 total_energy_ev_per_atom=-5.62 pbc="T T T"
Th 0.822 0.000 1.723
Th 6.897 0.000 4.543
Ga 3.856 0.000 0.440
Ga 3.859 0.000 3.133
Ga 3.863 0.000 5.827
Pd -0.362 0.000 4.583
Pd 8.081 0.000 1.683